1.
# YInGaAg, relaxed, DFT GGA-PBE
data_YInGaAg
_cell_length_a 4.977
_cell_length_b 4.977
_cell_length_c 4.977
_cell_angle_alpha 60.00
_cell_angle_beta 60.00
_cell_angle_gamma 60.00
_symmetry_space_group_name_H-M 'P 1'
_symmetry_Int_Tables_number 1
_symmetry_space_group_name_Hall 'P 1'
loop_
_atom_site_label
_atom_site_fract_x
_atom_site_fract_y
_atom_site_fract_z
Ga1 0.250 0.250 0.250
In1 0.500 0.500 0.500
Y1 0.000 0.000 0.000
Ag1 0.750 0.750 0.750
# Symmetry: F-43m (216)
# D(E_F) in states/eV/cell: 1.441
# ΔH_f (0 K) in kJ/mol of atoms: -32.8

2.
# ZnIn2Ga2Ag7, relaxed, DFT GGA-PBE
data_ZnIn2Ga2Ag7
_cell_length_a 3.901
_cell_length_b 3.901
_cell_length_c 15.995
_cell_angle_alpha 82.97
_cell_angle_beta 82.97
_cell_angle_gamma 89.94
_symmetry_space_group_name_H-M 'P 1'
_symmetry_Int_Tables_number 1
_symmetry_space_group_name_Hall 'P 1'
loop_
_atom_site_label
_atom_site_fract_x
_atom_site_fract_y
_atom_site_fract_z
Ag1 0.929 0.430 0.139
Ag2 0.071 0.570 0.861
Zn1 0.000 0.000 0.000
In1 0.645 0.645 0.719
Ag3 0.570 0.071 0.861
Ag4 0.430 0.929 0.139
Ag5 0.500 0.500 0.000
Ag6 0.269 0.269 0.462
Ga1 0.812 0.812 0.368
Ag7 0.731 0.731 0.538
Ga2 0.188 0.188 0.632
In2 0.355 0.355 0.281
# Symmetry: C2/m (12)
# D(E_F) in states/eV/cell: 2.727
# ΔH_f (0 K) in kJ/mol of atoms: 6.9

3.
# ZrInGaAg, relaxed, DFT GGA-PBE
data_ZrInGaAg
_cell_length_a 4.146
_cell_length_b 4.206
_cell_length_c 4.493
_cell_angle_alpha 90.00
_cell_angle_beta 90.00
_cell_angle_gamma 90.00
_symmetry_space_group_name_H-M 'P 1'
_symmetry_Int_Tables_number 1
_symmetry_space_group_name_Hall 'P 1'
loop_
_atom_site_label
_atom_site_fract_x
_atom_site_fract_y
_atom_site_fract_z
In1 0.500 0.500 0.000
Zr1 0.000 0.500 0.500
Ga1 0.500 0.000 0.500
Ag1 0.000 0.000 0.000
# Symmetry: Pmmm (47)
# D(E_F) in states/eV/cell: 1.812
# ΔH_f (0 K) in kJ/mol of atoms: -28.6

4.
# ZrIn2GaAg, relaxed, DFT GGA-PBE
data_ZrIn2GaAg
_cell_length_a 5.046
_cell_length_b 5.440
_cell_length_c 5.046
_cell_angle_alpha 90.00
_cell_angle_beta 90.00
_cell_angle_gamma 90.00
_symmetry_space_group_name_H-M 'P 1'
_symmetry_Int_Tables_number 1
_symmetry_space_group_name_Hall 'P 1'
loop_
_atom_site_label
_atom_site_fract_x
_atom_site_fract_y
_atom_site_fract_z
Zr1 0.000 0.500 0.000
In1 0.500 0.000 0.000
Ga1 0.500 0.500 0.500
In2 0.000 0.000 0.500
Ag1 0.000 0.000 0.000
# Symmetry: P4/mmm (123)
# D(E_F) in states/eV/cell: 2.784
# ΔH_f (0 K) in kJ/mol of atoms: 55.0

5.
# GaAgIr2, relaxed, DFT GGA-PBE
data_GaAgIr2
_cell_length_a 3.788
_cell_length_b 3.788
_cell_length_c 9.800
_cell_angle_alpha 78.86
_cell_angle_beta 78.86
_cell_angle_gamma 90.00
_symmetry_space_group_name_H-M 'P 1'
_symmetry_Int_Tables_number 1
_symmetry_space_group_name_Hall 'P 1'
loop_
_atom_site_label
_atom_site_fract_x
_atom_site_fract_y
_atom_site_fract_z
Ga1 0.250 0.750 0.500
Ir1 0.141 0.625 0.250
Ag1 0.750 0.250 0.500
Ir2 0.375 0.391 0.750
Ir3 0.875 0.859 0.750
Ir4 0.609 0.125 0.250
Ag2 0.000 0.000 0.000
Ga2 0.500 0.500 0.000
# Symmetry: I-42d (122)
# D(E_F) in states/eV/cell: 11.286
# ΔH_f (0 K) in kJ/mol of atoms: 45.9

6.
# Ga4AgIr, relaxed, DFT GGA-PBE
data_Ga4AgIr
_cell_length_a 5.772
_cell_length_b 6.842
_cell_length_c 7.124
_cell_angle_alpha 118.70
_cell_angle_beta 113.76
_cell_angle_gamma 90.00
_symmetry_space_group_name_H-M 'P 1'
_symmetry_Int_Tables_number 1
_symmetry_space_group_name_Hall 'P 1'
loop_
_atom_site_label
_atom_site_fract_x
_atom_site_fract_y
_atom_site_fract_z
Ga1 0.861 0.638 0.723
Ga2 0.362 0.637 0.723
Ir1 0.250 0.000 0.000
Ga3 0.639 0.915 0.277
Ga4 0.139 0.362 0.277
Ga5 0.862 0.086 0.723
Ga6 0.361 0.085 0.723
Ga7 0.638 0.363 0.277
Ir2 0.750 0.000 0.000
Ag1 0.750 0.500 0.000
Ag2 0.250 0.500 0.000
Ga8 0.138 0.914 0.277
# Symmetry: C2/m (12)
# D(E_F) in states/eV/cell: 2.851
# ΔH_f (0 K) in kJ/mol of atoms: -17.1

7.
# GaAg3Ir, relaxed, DFT GGA-PBE
data_GaAg3Ir
_cell_length_a 5.096
_cell_length_b 5.096
_cell_length_c 5.096
_cell_angle_alpha 90.00
_cell_angle_beta 90.00
_cell_angle_gamma 90.00
_symmetry_space_group_name_H-M 'P 1'
_symmetry_Int_Tables_number 1
_symmetry_space_group_name_Hall 'P 1'
loop_
_atom_site_label
_atom_site_fract_x
_atom_site_fract_y
_atom_site_fract_z
Ir1 0.000 0.000 0.000
Ga1 0.500 0.500 0.500
Ag1 0.000 0.000 0.500
Ag2 0.500 0.000 0.000
Ag3 0.000 0.500 0.000
# Symmetry: Pm-3m (221)
# D(E_F) in states/eV/cell: 5.973
# ΔH_f (0 K) in kJ/mol of atoms: 103.1

8.
# Ga3AgIr, relaxed, DFT GGA-PBE
data_Ga3AgIr
_cell_length_a 4.809
_cell_length_b 4.809
_cell_length_c 4.809
_cell_angle_alpha 90.00
_cell_angle_beta 90.00
_cell_angle_gamma 90.00
_symmetry_space_group_name_H-M 'P 1'
_symmetry_Int_Tables_number 1
_symmetry_space_group_name_Hall 'P 1'
loop_
_atom_site_label
_atom_site_fract_x
_atom_site_fract_y
_atom_site_fract_z
Ga1 0.000 0.500 0.000
Ag1 0.500 0.500 0.500
Ga2 0.000 0.000 0.500
Ga3 0.500 0.000 0.000
Ir1 0.000 0.000 0.000
# Symmetry: Pm-3m (221)
# D(E_F) in states/eV/cell: 2.102
# ΔH_f (0 K) in kJ/mol of atoms: -3.8

9.
# Ga8Ag2Ir, relaxed, DFT GGA-PBE
data_Ga8Ag2Ir
_cell_length_a 4.353
_cell_length_b 5.402
_cell_length_c 9.894
_cell_angle_alpha 116.94
_cell_angle_beta 102.71
_cell_angle_gamma 90.00
_symmetry_space_group_name_H-M 'P 1'
_symmetry_Int_Tables_number 1
_symmetry_space_group_name_Hall 'P 1'
loop_
_atom_site_label
_atom_site_fract_x
_atom_site_fract_y
_atom_site_fract_z
Ga1 0.370 0.556 0.741
Ag1 0.811 0.182 0.622
Ga2 0.208 0.340 0.417
Ir1 0.500 0.000 0.000
Ga3 0.792 0.660 0.583
Ga4 0.616 0.905 0.232
Ga5 0.993 0.726 0.986
Ga6 0.007 0.274 0.014
Ga7 0.630 0.444 0.259
Ag2 0.189 0.818 0.378
Ga8 0.384 0.095 0.768
# Symmetry: C2/m (12)
# D(E_F) in states/eV/cell: 2.644
# ΔH_f (0 K) in kJ/mol of atoms: -11.5

10.
# GaAgIr, relaxed, DFT GGA-PBE
data_GaAgIr
_cell_length_a 3.055
_cell_length_b 3.055
_cell_length_c 11.049
_cell_angle_alpha 97.95
_cell_angle_beta 97.95
_cell_angle_gamma 90.00
_symmetry_space_group_name_H-M 'P 1'
_symmetry_Int_Tables_number 1
_symmetry_space_group_name_Hall 'P 1'
loop_
_atom_site_label
_atom_site_fract_x
_atom_site_fract_y
_atom_site_fract_z
Ag1 0.296 0.296 0.593
Ag2 0.704 0.704 0.407
Ga1 0.117 0.117 0.235
Ir1 0.559 0.559 0.118
Ir2 0.441 0.441 0.882
Ga2 0.883 0.883 0.765
# Symmetry: I4/mmm (139)
# D(E_F) in states/eV/cell: 4.406
# ΔH_f (0 K) in kJ/mol of atoms: 8.0

11.
# Ga3AgIr, relaxed, DFT GGA-PBE
data_Ga3AgIr
_cell_length_a 5.756
_cell_length_b 5.764
_cell_length_c 5.890
_cell_angle_alpha 90.00
_cell_angle_beta 90.00
_cell_angle_gamma 70.25
_symmetry_space_group_name_H-M 'P 1'
_symmetry_Int_Tables_number 1
_symmetry_space_group_name_Hall 'P 1'
loop_
_atom_site_label
_atom_site_fract_x
_atom_site_fract_y
_atom_site_fract_z
Ir1 0.768 0.971 0.052
Ga1 0.511 0.713 0.052
Ir2 0.792 0.995 0.552
Ga2 0.083 0.680 0.802
Ag1 0.498 0.700 0.552
Ag2 0.062 0.266 0.052
Ga3 0.083 0.680 0.302
Ga4 0.477 0.286 0.302
Ga5 0.477 0.286 0.802
Ga6 0.050 0.252 0.552
# Symmetry: P2_1/m (11)
# D(E_F) in states/eV/cell: 3.281
# ΔH_f (0 K) in kJ/mol of atoms: -4.8

12.
# GaAg3Ir, relaxed, DFT GGA-PBE
data_GaAg3Ir
_cell_length_a 4.692
_cell_length_b 4.692
_cell_length_c 4.692
_cell_angle_alpha 90.00
_cell_angle_beta 90.00
_cell_angle_gamma 90.00
_symmetry_space_group_name_H-M 'P 1'
_symmetry_Int_Tables_number 1
_symmetry_space_group_name_Hall 'P 1'
loop_
_atom_site_label
_atom_site_fract_x
_atom_site_fract_y
_atom_site_fract_z
Ga1 0.000 0.000 0.000
Ag1 0.000 0.000 0.500
Ag2 0.000 0.500 0.000
Ir1 0.500 0.500 0.500
Ag3 0.500 0.000 0.000
# Symmetry: Pm-3m (221)
# D(E_F) in states/eV/cell: 4.075
# ΔH_f (0 K) in kJ/mol of atoms: 108.5